# 1
# SCAN BeTcBi2Br, single point on PBEsol structure
data_BeTcBi2Br
_space_group_name_H-M_alt 'P 1'
_space_group_IT_number 1
_space_group_name_Hall 'P 1'
_cell_length_a 5.6069
_cell_length_b 5.6069
_cell_length_c 4.4933
_cell_angle_alpha 90.00
_cell_angle_beta 90.00
_cell_angle_gamma 90.00
loop_
_atom_site_label
_atom_site_fract_x
_atom_site_fract_y
_atom_site_fract_z
Be1 0.0000 0.0000 0.0000
Tc1 0.5000 0.5000 0.0000
Bi1 0.0000 0.5000 0.5000
Bi2 0.5000 0.0000 0.5000
Br1 0.5000 0.5000 0.5000
# size of the total moment	2.38	μB/f.u.
# space group	P4/mmm, No. 123
# Fermi-level density of states	0.60	states/eV per atom
# ΔE_f (raw)	41.65	kcal/mol of atoms
# total energy	-41.400	eV per atom

***

# 2
# SCAN LaRu3, single point on PBEsol structure
data_LaRu3
_space_group_name_H-M_alt 'P 1'
_space_group_IT_number 1
_space_group_name_Hall 'P 1'
_cell_length_a 5.6647
_cell_length_b 5.6647
_cell_length_c 5.6647
_cell_angle_alpha 150.47
_cell_angle_beta 130.66
_cell_angle_gamma 58.56
loop_
_atom_site_label
_atom_site_fract_x
_atom_site_fract_y
_atom_site_fract_z
La1 0.0000 0.0000 0.0000
Ru1 0.2781 0.7781 0.5000
Ru2 0.5000 0.5000 0.0000
Ru3 0.7219 0.2219 0.5000
# formation enthalpy at 0 K	411	meV/atom
# size of the total moment	0.00	μB/f.u.
# space group	Immm, No. 71
# Fermi-level density of states	0.97	states/eV per atom
# total energy	-36.485	eV per atom